[1]
CuOsRu at its PBEsol-relaxed geometry, computed with SCAN.

Structure (POSCAR):
```
CuOsRu
1.0
2.719 0.000 0.000
0.000 4.466 0.000
0.000 0.000 13.333
Cu Os Ru
4 4 4
Cartesian
0.000 0.000 0.000 Cu
0.000 2.233 6.667 Cu
1.359 0.000 6.667 Cu
1.359 2.233 0.000 Cu
0.000 0.000 4.428 Os
0.000 2.233 11.095 Os
1.359 0.000 11.095 Os
1.359 2.233 4.428 Os
0.000 0.000 8.887 Ru
0.000 2.233 2.220 Ru
1.359 0.000 2.220 Ru
1.359 2.233 8.887 Ru
```

Properties
Relative energy among the computed polymorphs in eV per atom: 0.353
DFT total energy in eV/atom: -40.10
Energy of formation from the pure elements in eV per atom: 0.54
Calculated volume in Å³ per cell: 161.9
SG: No. 42

[2]
ScCuSnOs2 at its PBEsol-relaxed geometry, computed with SCAN.

Structure (POSCAR):
```
ScCuSnOs2
1.0
4.664 0.000 0.000
0.000 4.664 0.000
0.000 0.000 4.433
Sc Cu Sn Os
1 1 1 2
Cartesian
0.000 0.000 0.000 Sc
0.000 0.000 2.216 Cu
2.332 2.332 2.216 Sn
0.000 2.332 0.000 Os
2.332 0.000 0.000 Os
```

Properties
DFT total energy in eV/atom: -40.02
Energy of formation from the pure elements in eV per atom: 1.80
Calculated volume in Å³ per cell: 96.4
SG: No. 123

[3]
CuOs3Se at its PBEsol-relaxed geometry, computed with SCAN.

Structure (POSCAR):
```
CuOs3Se
1.0
4.462 0.000 0.000
0.000 4.462 0.000
0.000 0.000 4.462
Cu Os Se
1 3 1
Cartesian
0.000 0.000 0.000 Cu
0.000 2.231 2.231 Os
2.231 0.000 2.231 Os
2.231 2.231 0.000 Os
2.231 2.231 2.231 Se
```

Properties
DFT total energy in eV/atom: -48.14
Raw formation energy in eV per atom: 2.0443
Calculated volume in Å³ per cell: 88.9
SG: No. 221

[4]
CuOsSe2 at its PBEsol-relaxed geometry, computed with SCAN.

Structure (POSCAR):
```
CuOsSe2
1.0
3.060 0.000 0.000
0.000 4.434 0.000
0.000 0.000 4.445
Cu Os Se
1 1 2
Cartesian
0.000 0.000 0.000 Cu
0.000 2.217 2.222 Os
1.530 0.000 2.222 Se
1.530 2.217 0.000 Se
```

Properties
Relative energy among the computed polymorphs in eV per atom: 0.463
DFT total energy in eV/atom: -31.11
Raw formation energy in eV per atom: 0.7010
Calculated volume in Å³ per cell: 60.3
SG: No. 47